--- A ---
A plane-wave DFT calculation with GGA-PBE was carried out for a geometry-optimized K2Re structure.

a = 10.0826 Å, b = 10.0826 Å, c = 10.0826 Å
α = 163.72°, β = 163.72°, γ = 23.11°
With the nearest neighbours (Å) after each atom.
Element x y z (fractional)
K (0.1392, 0.1392, 0.0000)  4 K 2.86
K (0.8608, 0.8608, 0.0000)  4 K 2.86
Re (0.5000, 0.5000, 0.0000)  4 Re 2.86



--- B ---
A plane-wave DFT calculation with GGA-PBE was carried out for a geometry-optimized K2Re structure.

a = 6.2101 Å, b = 6.2101 Å, c = 6.2101 Å
α = 154.68°, β = 123.97°, γ = 62.44°
With the nearest neighbours (Å) after each atom.
Element x y z (fractional)
K (0.1617, 0.1617, 0.0000)  2 K 2.72
K (0.8383, 0.8383, 0.0000)  2 K 2.72
Re (0.5000, 0.5000, 0.0000)  2 Re 2.72



--- C ---
A plane-wave DFT calculation with GGA-PBE was carried out for a geometry-optimized K2Re structure.

a = 10.3978 Å, b = 10.3978 Å, c = 2.7253 Å
α = 90.00°, β = 90.00°, γ = 120.00°
With the nearest neighbours (Å) after each atom.
Element x y z (fractional)
K (0.0000, 0.3172, 0.0000)  2 K 2.73
K (0.0000, 0.6505, 0.5000)  2 K 2.73
K (0.3172, 0.0000, 0.0000)  2 K 2.73
K (0.3495, 0.3495, 0.5000)  2 K 2.73
K (0.6505, 0.0000, 0.5000)  2 K 2.73
K (0.6828, 0.6828, 0.0000)  2 K 2.73
Re (0.0000, 0.0000, 0.5000)  2 Re 2.73
Re (0.3333, 0.6667, 0.0000)  2 Re 2.73
Re (0.6667, 0.3333, 0.0000)  2 Re 2.73



--- D ---
A plane-wave DFT calculation with GGA-PBE was carried out for a geometry-optimized K2Re structure.

a = 10.1897 Å, b = 10.1897 Å, c = 7.1397 Å
α = 106.88°, β = 106.88°, γ = 20.90°
With the nearest neighbours (Å) after each atom.
Element x y z (fractional)
K (0.0806, 0.0806, 0.3056)  3 Re 3.54-3.63, 2 K 3.70
K (0.3425, 0.3425, 0.1602)  4 Re 3.57-3.95, 2 K 3.70
K (0.6575, 0.6575, 0.8398)  4 Re 3.57-3.95, 2 K 3.70
K (0.9194, 0.9194, 0.6944)  3 Re 3.54-3.63, 2 K 3.70
Re (0.2621, 0.2621, 0.6035)  2 Re 2.33
Re (0.7379, 0.7379, 0.3965)  2 Re 2.33



Question: of the structures shown, which is the least stable? Reply: C.